1.
# NaSrTbS3 PBE relaxed
data_NaSrTbS3
_cell_length_a 8.806
_cell_length_b 8.806
_cell_length_c 8.704
_cell_angle_alpha 104.55
_cell_angle_beta 104.55
_cell_angle_gamma 26.38
_space_group_name_H-M_alt 'P 1'
_space_group_IT_number 1
loop_
_space_group_symop_operation_xyz
'x,y,z'
loop_
_atom_site_label
_atom_site_type_symbol
_atom_site_fract_x
_atom_site_fract_y
_atom_site_fract_z
_atom_site_occupancy
S1 S 0.669 0.669 0.363 1
Tb1 Tb 0.166 0.166 0.588 1
Tb2 Tb 0.834 0.834 0.412 1
S2 S 0.331 0.331 0.637 1
S3 S 0.000 0.000 0.500 1
S4 S 0.500 0.500 0.000 1
Sr1 Sr 0.135 0.135 0.066 1
S5 S 0.322 0.322 0.188 1
Na1 Na 0.503 0.503 0.703 1
Sr2 Sr 0.865 0.865 0.934 1
S6 S 0.678 0.678 0.812 1
Na2 Na 0.497 0.497 0.297 1
# symmetry = C2/m, No. 12
# energy above the most stable polymorph in this dataset = 0 meV/atom
# crystal system = monoclinic
# total moment = 0.0 μB/f.u.



2.
# Hf2FeIr PBE relaxed
data_Hf2FeIr
_cell_length_a 6.383
_cell_length_b 6.543
_cell_length_c 6.393
_cell_angle_alpha 90.00
_cell_angle_beta 90.00
_cell_angle_gamma 90.00
_space_group_name_H-M_alt 'P 1'
_space_group_IT_number 1
loop_
_space_group_symop_operation_xyz
'x,y,z'
loop_
_atom_site_label
_atom_site_type_symbol
_atom_site_fract_x
_atom_site_fract_y
_atom_site_fract_z
_atom_site_occupancy
Fe1 Fe 0.000 0.750 0.000 1
Hf1 Hf 0.749 0.500 0.251 1
Fe2 Fe 0.000 0.250 0.000 1
Ir1 Ir 0.000 0.250 0.500 1
Hf2 Hf 0.751 0.500 0.751 1
Fe3 Fe 0.500 0.750 0.500 1
Hf3 Hf 0.251 0.500 0.749 1
Hf4 Hf 0.749 0.000 0.251 1
Fe4 Fe 0.500 0.250 0.500 1
Hf5 Hf 0.249 0.500 0.249 1
Hf6 Hf 0.751 0.000 0.751 1
Hf7 Hf 0.251 0.000 0.749 1
Ir2 Ir 0.500 0.750 0.000 1
Ir3 Ir 0.500 0.250 0.000 1
Hf8 Hf 0.249 0.000 0.249 1
Ir4 Ir 0.000 0.750 0.500 1
# ΔE_f = -0.645 eV per atom
# symmetry = P4/mbm, No. 127
# energy above the most stable polymorph in this dataset = 20 meV/atom
# crystal system = tetragonal
# total moment = 0.8 μB/f.u.



3.
# Zr5AlBi3 PBE relaxed
data_Zr5AlBi3
_cell_length_a 8.881
_cell_length_b 8.881
_cell_length_c 5.948
_cell_angle_alpha 90.00
_cell_angle_beta 90.00
_cell_angle_gamma 120.00
_space_group_name_H-M_alt 'P 1'
_space_group_IT_number 1
loop_
_space_group_symop_operation_xyz
'x,y,z'
loop_
_atom_site_label
_atom_site_type_symbol
_atom_site_fract_x
_atom_site_fract_y
_atom_site_fract_z
_atom_site_occupancy
Zr1 Zr 0.734 0.734 0.250 1
Zr2 Zr 0.734 0.000 0.750 1
Zr3 Zr 0.266 0.000 0.250 1
Zr4 Zr 0.000 0.266 0.250 1
Bi1 Bi 0.612 0.612 0.750 1
Zr5 Zr 0.333 0.667 0.000 1
Bi2 Bi 0.388 0.388 0.250 1
Zr6 Zr 0.266 0.266 0.750 1
Zr7 Zr 0.667 0.333 0.500 1
Zr8 Zr 0.667 0.333 0.000 1
Al1 Al 0.000 0.000 0.000 1
Zr9 Zr 0.000 0.734 0.750 1
Al2 Al 0.000 0.000 0.500 1
Zr10 Zr 0.333 0.667 0.500 1
Bi3 Bi 0.000 0.612 0.250 1
Bi4 Bi 0.612 0.000 0.250 1
Bi5 Bi 0.388 0.000 0.750 1
Bi6 Bi 0.000 0.388 0.750 1
# symmetry = P6_3/mcm, No. 193
# electronic total energy = -62.62 eV/f.u.
# crystal system = hexagonal
# total moment = 0.0 μB/f.u.



Among the records above, which one has the highest total moment? Hf2FeIr